Arrangement i

! AcNd4Y2 (PBE, relaxed); values from VASP
! - Fermi-level density of states: 11.80 states/eV per cell
&SYSTEM
  ibrav = 0, nat = 7, ntyp = 3
/
ATOMIC_SPECIES
Ac 227.00 Ac.upf
Nd 144.24 Nd.upf
Y 88.91 Y.upf
ATOMIC_POSITIONS angstrom
Ac 0.0000 0.0000 0.0000
Nd 2.9882 0.0000 0.0000
Nd 0.0000 0.0000 3.2129
Nd 0.0000 2.9882 0.0000
Nd 0.0000 0.0000 13.6510
Y 0.0000 0.0000 6.6620
Y 0.0000 0.0000 10.2019
CELL_PARAMETERS angstrom
-2.9882 2.9882 8.4320
2.9882 -2.9882 8.4320
2.9882 2.9882 -8.4320



Arrangement ii

! AcNd4Y2 (PBE, relaxed); values from VASP
! - Fermi-level density of states: 12.79 states/eV per cell
&SYSTEM
  ibrav = 0, nat = 7, ntyp = 3
/
ATOMIC_SPECIES
Ac 227.00 Ac.upf
Nd 144.24 Nd.upf
Y 88.91 Y.upf
ATOMIC_POSITIONS angstrom
Ac 0.0000 0.0000 0.0000
Nd 3.0586 1.6440 0.0000
Nd 1.4969 0.0000 3.2315
Nd 3.0586 -1.6440 0.0000
Nd 9.7677 0.0000 3.1323
Y 4.9218 0.0000 4.6735
Y 6.3428 0.0000 1.6904
CELL_PARAMETERS angstrom
6.1172 -3.2879 0.0000
6.1172 3.2879 0.0000
-0.9698 0.0000 6.3638



arrangement i is the least stable structure shown above.